1.
Crystalline Pm6Tl2CO at its relaxed geometry. Source: the Alexandria database, functional PBE.

Structure (extended XYZ):
```
20
Lattice="-2.225 -3.840 -5.542 2.160 -5.934 3.245 -9.034 -0.946 4.283" Properties=species:S:1:pos:R:3 pbc="T T T"
C -5.090 -3.876 0.181
Pm -5.106 -6.306 -0.390
Pm -7.334 -4.111 1.245
Tl -6.269 -7.080 2.875
Tl -1.751 -6.607 0.733
Pm -4.000 -4.397 2.365
Pm 1.604 -6.881 1.863
Pm -0.624 -4.686 3.498
Pm 0.530 -3.931 0.250
Pm -5.074 -1.447 0.752
C 1.620 -4.451 2.434
Pm -6.180 -3.356 -2.002
O -0.572 -3.404 -1.959
O -2.898 -4.923 4.575
Pm -2.846 -3.641 -0.883
Pm -5.170 -5.163 5.653
Tl -6.235 -2.194 4.023
Tl -1.719 -1.721 1.882
Pm 0.485 -8.812 -0.924
Pm -0.589 -5.862 -2.537
```

Output
The calculation puts the total energy at -5.625 eV/atom. Its formation energy without anion corrections is -883 meV per atom.



2.
Crystalline Nd4CdIn2Pd at its relaxed geometry. Source: the Alexandria database, functional PBE.

Structure (extended XYZ):
```
8
Lattice="5.411 0.000 0.000 2.705 4.686 0.000 2.705 1.562 8.775" Properties=species:S:1:pos:R:3 pbc="T T T"
Nd 2.705 1.562 5.328
In 8.116 4.686 6.758
Nd 8.116 4.686 3.447
Cd 0.000 0.000 0.000
In 2.705 1.562 2.017
Nd 5.411 3.124 1.295
Pd 5.411 3.124 4.387
Nd 5.411 3.124 7.480
```

Output
The formation energy is -481 meV per atom. The calculation puts the total energy at -4.313 eV/atom.



3.
Crystalline K3Cd2Te4 at its relaxed geometry. Source: the Alexandria database, functional PBE.

Structure (extended XYZ):
```
9
Lattice="-3.711 -2.354 -1.045 0.777 -0.502 8.139 -4.452 8.895 -4.223" Properties=species:S:1:pos:R:3 pbc="T T T"
Te -2.040 3.282 -0.146
Te -5.347 2.757 3.016
K -2.135 1.280 4.700
Te -4.711 7.092 0.758
K 0.000 0.000 0.000
Cd -3.788 1.226 0.928
Cd -3.599 4.812 1.943
K -5.252 4.758 -1.829
Te -2.676 -1.053 2.112
```

Output
The energy relative to the lowest polymorph listed for this composition comes out at 0.021 eV per atom. The calculation puts the total energy at -2.676 eV/atom. Its formation energy without anion corrections is -711 meV per atom.



4.
Crystalline TlFeIr2 at its relaxed geometry. Source: the Alexandria database, functional PBE.

Structure (extended XYZ):
```
4
Lattice="0.000 3.182 3.182 3.182 0.000 3.182 3.182 3.182 0.000" Properties=species:S:1:pos:R:3 pbc="T T T"
Tl 3.182 3.182 3.182
Fe 0.000 0.000 0.000
Ir 1.591 1.591 1.591
Ir 4.773 4.773 4.773
```

Output
The energy relative to the lowest polymorph listed for this composition comes out at 0.126 eV per atom. The formation energy is 430 meV per atom. The calculation puts the total energy at -6.708 eV/atom.



5.
Crystalline Sr5ZnHg4 at its relaxed geometry. Source: the Alexandria database, functional PBE.

Structure (extended XYZ):
```
10
Lattice="-3.226 -2.323 0.177 0.506 -0.404 3.926 -11.445 16.134 3.138" Properties=species:S:1:pos:R:3 pbc="T T T"
Sr -11.697 13.209 4.885
Sr -4.771 3.446 2.987
Sr -7.082 6.704 3.620
Hg -6.879 9.697 1.886
Sr -2.468 0.199 2.355
Zn 0.000 0.000 0.000
Hg -9.194 12.961 2.521
Sr -9.393 9.961 4.254
Hg -2.251 3.173 0.617
Hg -4.566 6.437 1.252
```

Output
The formation energy is -461 meV per atom. The calculation puts the total energy at -1.550 eV/atom.



6.
Crystalline AlGeBr2N at its relaxed geometry. Source: the Alexandria database, functional PBE.

Structure (extended XYZ):
```
5
Lattice="5.436 0.000 0.000 0.000 3.513 0.000 0.000 0.000 5.436" Properties=species:S:1:pos:R:3 pbc="T T T"
Ge 2.718 1.756 2.718
Br 2.718 0.000 0.000
Al 0.000 0.000 0.000
N 0.000 1.756 0.000
Br 0.000 0.000 2.718
```

Output
The calculation puts the total energy at -3.928 eV/atom. Its formation energy without anion corrections is 78 meV per atom.



7.
Crystalline HoGe4Rh2 at its relaxed geometry. Source: the Alexandria database, functional PBE.

Structure (extended XYZ):
```
28
Lattice="4.230 0.000 0.000 0.000 6.706 0.000 0.000 0.000 17.143" Properties=species:S:1:pos:R:3 pbc="T T T"
Ho 1.057 3.312 14.706
Rh 1.057 3.502 4.937
Ge 1.057 2.455 0.606
Ge 3.172 5.186 13.850
Ge 3.172 2.071 5.466
Ge 1.057 4.635 11.677
Ge 1.057 1.519 3.294
Rh 3.172 0.149 3.635
Rh 3.172 1.693 16.615
Rh 1.057 5.013 0.529
Rh 3.172 1.660 8.043
Rh 3.172 3.204 12.207
Ge 1.057 0.227 16.029
Ho 3.172 6.665 11.009
Ge 3.172 4.872 5.278
Ge 3.172 6.479 1.115
Rh 1.057 5.046 9.101
Ge 3.172 4.251 16.537
Ge 1.057 5.424 3.105
Ge 1.057 0.898 9.178
Ho 1.057 0.041 6.135
Ge 3.172 1.282 14.038
Ge 1.057 1.833 11.865
Ge 3.172 3.580 9.686
Ge 1.057 3.126 7.457
Ho 3.172 3.393 2.437
Rh 1.057 6.557 13.508
Ge 3.172 5.807 7.965
```

Output
The formation energy is -636 meV per atom. The calculation puts the total energy at -6.029 eV/atom.



8.
Crystalline Dy4Ag2HgRu at its relaxed geometry. Source: the Alexandria database, functional PBE.

Structure (extended XYZ):
```
8
Lattice="-2.011 0.282 -4.680 -1.946 -4.174 -2.196 -8.678 0.416 0.973" Properties=species:S:1:pos:R:3 pbc="T T T"
Dy -3.751 -2.335 -4.090
Ru -6.317 -1.738 -2.952
Dy -5.773 -0.261 -0.316
Dy -8.883 -1.141 -1.813
Dy -6.862 -3.216 -5.587
Hg 0.000 0.000 0.000
Ag -3.054 -0.893 -1.522
Ag -9.581 -2.583 -4.381
```

Output
The formation energy is -400 meV per atom. The calculation puts the total energy at -4.611 eV/atom.



9.
Crystalline La2HoInO at its relaxed geometry. Source: the Alexandria database, functional PBE.

Structure (extended XYZ):
```
5
Lattice="-2.765 -0.180 -3.863 2.449 -4.220 -1.557 -3.370 -2.896 2.547" Properties=species:S:1:pos:R:3 pbc="T T T"
La -1.685 -1.448 1.273
O 0.000 0.000 0.000
Ho -1.383 -0.090 -1.931
La 1.225 -2.110 -0.778
In -1.843 -3.647 -1.436
```

Output
The calculation puts the total energy at -5.838 eV/atom. Its formation energy without anion corrections is -1412 meV per atom.



10.
Crystalline Ac2In2Au3 at its relaxed geometry. Source: the Alexandria database, functional PBE.

Structure (extended XYZ):
```
7
Lattice="-2.828 3.127 1.694 -1.568 -1.401 -6.124 -2.695 -5.029 4.782" Properties=species:S:1:pos:R:3 pbc="T T T"
In -5.464 -2.089 0.828
Ac -4.257 0.489 -1.916
Ac -2.834 -3.793 2.269
In -1.627 -1.214 -0.475
Au -3.135 -0.551 1.875
Au -1.414 1.563 0.847
Au -3.956 -2.753 -1.522
```

Output
The energy relative to the lowest polymorph listed for this composition comes out at 0.060 eV per atom. The formation energy is -610 meV per atom. The calculation puts the total energy at -3.971 eV/atom.



11.
Crystalline TaAl5 at its relaxed geometry. Source: the Alexandria database, functional PBE.

Structure (extended XYZ):
```
6
Lattice="2.560 -4.434 0.000 2.560 4.434 0.000 0.000 0.000 4.443" Properties=species:S:1:pos:R:3 pbc="T T T"
Ta 0.000 0.000 0.000
Al 2.560 1.478 0.000
Al 1.280 -2.217 2.221
Al 2.560 -1.478 0.000
Al 2.560 0.000 2.221
Al 1.280 2.217 2.221
```

Output
The energy relative to the lowest polymorph listed for this composition comes out at 0.450 eV per atom. The formation energy is 281 meV per atom. The calculation puts the total energy at -4.813 eV/atom.



12.
Crystalline Y8Ga3CS3 at its relaxed geometry. Source: the Alexandria database, functional PBE.

Structure (extended XYZ):
```
15
Lattice="7.679 -0.001 0.000 -3.840 6.657 -0.026 0.000 -4.415 7.191" Properties=species:S:1:pos:R:3 pbc="T T T"
Ga 0.000 0.000 0.000
Y 5.935 -1.205 2.089
Y 0.000 -0.187 5.088
Y -2.096 3.446 5.076
S -1.920 1.121 3.583
S 1.919 1.121 3.582
Ga -1.920 3.329 -0.013
Ga 1.919 3.328 -0.013
Y 3.839 2.429 2.077
Y 3.839 0.018 5.240
Y 2.094 3.446 5.076
S 3.839 -2.208 3.595
Y 1.745 -1.204 2.089
C 0.000 -2.207 3.595
Y 0.000 2.224 1.925
```

Output
The calculation puts the total energy at -6.566 eV/atom. Its formation energy without anion corrections is -1073 meV per atom.



13.
Crystalline HfMgAsO6 at its relaxed geometry. Source: the Alexandria database, functional PBE.

Structure (extended XYZ):
```
18
Lattice="-2.602 3.976 2.106 -2.393 -3.206 -3.318 -2.416 -5.131 6.700" Properties=species:S:1:pos:R:3 pbc="T T T"
O -4.845 -2.466 0.582
O -3.562 -0.304 0.016
O -2.635 -1.731 1.941
Mg -1.208 -2.565 3.350
Hf -4.275 -4.660 3.515
O -2.566 -1.895 4.906
O -4.776 -2.630 3.547
O -4.845 -0.477 5.170
As -3.067 -2.095 0.165
Hf -3.137 0.299 1.973
O -3.906 -1.906 7.099
O -1.288 -1.729 -0.256
Mg 0.000 0.000 0.000
As -4.344 -2.266 5.323
O -3.505 -2.455 -1.611
O -6.123 -2.632 5.744
O -3.849 -4.057 5.472
O -2.566 -3.884 0.318
```

Output
The calculation puts the total energy at -7.187 eV/atom. Its formation energy without anion corrections is -2082 meV per atom.



14.
Crystalline GdEr2I at its relaxed geometry. Source: the Alexandria database, functional PBE.

Structure (extended XYZ):
```
4
Lattice="3.719 0.000 0.000 1.859 3.220 0.000 1.859 1.073 10.416" Properties=species:S:1:pos:R:3 pbc="T T T"
Er 1.859 1.073 2.463
I 0.000 0.000 0.000
Gd 3.719 2.147 5.208
Er 5.578 3.220 7.953
```

Output
The calculation puts the total energy at -6.511 eV/atom. Its formation energy without anion corrections is -321 meV per atom.



15.
Crystalline EuZrRh2 at its relaxed geometry. Source: the Alexandria database, functional PBE.

Structure (extended XYZ):
```
4
Lattice="4.793 0.000 0.000 2.396 4.151 0.000 2.396 1.384 3.913" Properties=species:S:1:pos:R:3 pbc="T T T"
Eu 0.000 0.000 0.000
Rh 2.396 1.384 0.978
Zr 4.793 2.767 1.957
Rh 7.189 4.151 2.935
```

Output
The energy relative to the lowest polymorph listed for this composition comes out at 0.148 eV per atom. The formation energy is -492 meV per atom. The calculation puts the total energy at -8.874 eV/atom.



16.
Crystalline Pm3SmS4 at its relaxed geometry. Source: the Alexandria database, functional PBE.

Structure (extended XYZ):
```
8
Lattice="5.696 0.000 0.000 0.000 5.696 0.000 0.000 0.000 5.696" Properties=species:S:1:pos:R:3 pbc="T T T"
S 2.848 2.848 2.848
Pm 2.848 0.000 2.848
S 2.848 0.000 0.000
S 0.000 0.000 2.848
Sm 0.000 0.000 0.000
Pm 2.848 2.848 0.000
S 0.000 2.848 0.000
Pm 0.000 2.848 2.848
```

Output
The energy relative to the lowest polymorph listed for this composition comes out at 0.013 eV per atom. The calculation puts the total energy at -6.457 eV/atom. Its formation energy without anion corrections is -2022 meV per atom.



17.
Crystalline TbCeEuSc at its relaxed geometry. Source: the Alexandria database, functional PBE.

Structure (extended XYZ):
```
4
Lattice="-3.299 -1.213 4.396 -3.213 -4.621 -0.083 1.249 -4.357 3.338" Properties=species:S:1:pos:R:3 pbc="T T T"
Eu -3.948 -7.643 5.738
Tb -2.632 -5.095 3.825
Ce -1.316 -2.548 1.913
Sc 0.000 0.000 0.000
```

Output
The formation energy is 234 meV per atom. The calculation puts the total energy at -6.559 eV/atom.



18.
Crystalline TiV3Si at its relaxed geometry. Source: the Alexandria database, functional PBE.

Structure (extended XYZ):
```
5
Lattice="-2.756 -0.715 -3.341 3.416 -0.546 -2.701 0.024 -4.296 0.900" Properties=species:S:1:pos:R:3 pbc="T T T"
Ti 0.342 -2.779 -2.571
Si 0.000 0.000 0.000
V -1.378 -0.358 -1.670
V 1.708 -0.273 -1.351
V 0.012 -2.148 0.450
```

Output
The energy relative to the lowest polymorph listed for this composition comes out at 0.622 eV per atom. The calculation puts the total energy at -7.517 eV/atom. Its formation energy without anion corrections is 618 meV per atom.



19.
Crystalline Mn2CdCl at its relaxed geometry. Source: the Alexandria database, functional PBE.

Structure (extended XYZ):
```
4
Lattice="-3.915 2.812 -0.002 -4.193 -1.706 1.657 -1.792 1.639 4.164" Properties=species:S:1:pos:R:3 pbc="T T T"
Cl -7.425 2.059 4.364
Mn -2.475 0.686 1.455
Cd -4.950 1.373 2.910
Mn 0.000 0.000 0.000
```

Output
The energy relative to the lowest polymorph listed for this composition comes out at 0.712 eV per atom. The calculation puts the total energy at -4.557 eV/atom. Its formation energy without anion corrections is 718 meV per atom.



20.
Crystalline K2DyBiTe4 at its relaxed geometry. Source: the Alexandria database, functional PBE.

Structure (extended XYZ):
```
8
Lattice="-0.990 -3.872 -2.126 7.094 0.132 -3.545 0.917 -4.321 7.443" Properties=species:S:1:pos:R:3 pbc="T T T"
Te 1.417 -2.814 -0.355
K -0.037 -4.096 2.659
Te 2.633 -3.385 4.941
Te 5.378 -0.803 -1.043
Dy 3.052 -1.870 -2.835
Bi 0.000 0.000 0.000
K 4.006 -2.094 1.949
Te 5.604 -5.247 2.127
```

Output
The calculation puts the total energy at -3.913 eV/atom. Its formation energy without anion corrections is -1007 meV per atom.